Entry 1:
# SCAN BeZnSb2, single point on PBEsol structure
# uncorrected formation energy: 0.92 eV per formula unit
# distance to the lowest polymorph of the same formula: 0.0 meV/atom
# crystal system: trigonal
data_BeZnSb2
_cell_length_a 6.7790
_cell_length_b 6.7790
_cell_length_c 6.7790
_cell_angle_alpha 32.16
_cell_angle_beta 32.16
_cell_angle_gamma 32.16
_space_group_name_H-M_alt 'P 1'
_space_group_IT_number 1
loop_
_space_group_symop_operation_xyz
'x,y,z'
loop_
_atom_site_label
_atom_site_fract_x
_atom_site_fract_y
_atom_site_fract_z
Be1 0.0000 0.0000 0.0000
Zn1 0.5000 0.5000 0.5000
Sb1 0.2600 0.2600 0.2600
Sb2 0.7400 0.7400 0.7400

***

Entry 2:
# SCAN Zr3BeSb, single point on PBEsol structure
# uncorrected formation energy: 5.14 eV per formula unit
# crystal system: cubic
data_Zr3BeSb
_cell_length_a 5.1937
_cell_length_b 5.1937
_cell_length_c 5.1937
_cell_angle_alpha 90.00
_cell_angle_beta 90.00
_cell_angle_gamma 90.00
_space_group_name_H-M_alt 'P 1'
_space_group_IT_number 1
loop_
_space_group_symop_operation_xyz
'x,y,z'
loop_
_atom_site_label
_atom_site_fract_x
_atom_site_fract_y
_atom_site_fract_z
Zr1 0.0000 0.0000 0.5000
Zr2 0.0000 0.5000 0.0000
Zr3 0.5000 0.0000 0.0000
Be1 0.5000 0.5000 0.5000
Sb1 0.0000 0.0000 0.0000

***

Entry 3:
# SCAN ScBe5, single point on PBEsol structure
# distance to the lowest polymorph of the same formula: 0.0 meV/atom
# DFT formation energy: -0.19 eV/atom
# crystal system: hexagonal
data_ScBe5
_cell_length_a 4.4939
_cell_length_b 4.4939
_cell_length_c 3.5126
_cell_angle_alpha 90.00
_cell_angle_beta 90.00
_cell_angle_gamma 120.00
_space_group_name_H-M_alt 'P 1'
_space_group_IT_number 1
loop_
_space_group_symop_operation_xyz
'x,y,z'
loop_
_atom_site_label
_atom_site_fract_x
_atom_site_fract_y
_atom_site_fract_z
Sc1 0.0000 0.0000 0.0000
Be1 0.0000 0.5000 0.5000
Be2 0.3333 0.6667 0.0000
Be3 0.5000 0.0000 0.5000
Be4 0.5000 0.5000 0.5000
Be5 0.6667 0.3333 0.0000

***

Entry 4:
# SCAN ScBe5, single point on PBEsol structure
# distance to the lowest polymorph of the same formula: 282.9 meV/atom
# DFT formation energy: 0.09 eV/atom
# crystal system: cubic
data_ScBe5
_cell_length_a 4.4713
_cell_length_b 4.4713
_cell_length_c 4.4713
_cell_angle_alpha 60.00
_cell_angle_beta 60.00
_cell_angle_gamma 60.00
_space_group_name_H-M_alt 'P 1'
_space_group_IT_number 1
loop_
_space_group_symop_operation_xyz
'x,y,z'
loop_
_atom_site_label
_atom_site_fract_x
_atom_site_fract_y
_atom_site_fract_z
Sc1 0.0000 0.0000 0.0000
Be1 0.1222 0.6259 0.6259
Be2 0.2500 0.2500 0.2500
Be3 0.6259 0.1222 0.6259
Be4 0.6259 0.6259 0.1222
Be5 0.6259 0.6259 0.6259

***

Entry 5:
# SCAN ScBeSe2, single point on PBEsol structure
# uncorrected formation energy: -2.51 eV per formula unit
# crystal system: orthorhombic
data_ScBeSe2
_cell_length_a 3.6482
_cell_length_b 3.6482
_cell_length_c 7.0516
_cell_angle_alpha 90.00
_cell_angle_beta 90.00
_cell_angle_gamma 123.34
_space_group_name_H-M_alt 'P 1'
_space_group_IT_number 1
loop_
_space_group_symop_operation_xyz
'x,y,z'
loop_
_atom_site_label
_atom_site_fract_x
_atom_site_fract_y
_atom_site_fract_z
Sc1 0.0000 0.0000 0.0000
Be1 0.0000 0.0000 0.5000
Se1 0.5000 0.5000 0.2798
Se2 0.5000 0.5000 0.7202

***

Entry 6:
# SCAN ScBeSe, single point on PBEsol structure
# uncorrected formation energy: -0.06 eV per formula unit
# crystal system: cubic
data_ScBeSe
_cell_length_a 4.2946
_cell_length_b 4.2946
_cell_length_c 4.2946
_cell_angle_alpha 60.00
_cell_angle_beta 60.00
_cell_angle_gamma 60.00
_space_group_name_H-M_alt 'P 1'
_space_group_IT_number 1
loop_
_space_group_symop_operation_xyz
'x,y,z'
loop_
_atom_site_label
_atom_site_fract_x
_atom_site_fract_y
_atom_site_fract_z
Sc1 0.0000 0.0000 0.0000
Be1 0.5000 0.5000 0.5000
Se1 0.7500 0.7500 0.7500

***

Number 1: density 6.7 g cm⁻³. Number 2: density 4.8 g cm⁻³. Number 3: density 2.4 g cm⁻³. Number 4: density 2.4 g cm⁻³. Number 5: density 4.5 g cm⁻³. Number 6: density 3.9 g cm⁻³.